{"formula": "Co7As2O12", "functional": "PBE+U", "state": "optimized geometry", "lattice": [[-2.9248, 9.0407, 4.2262], [2.9248, -9.0407, 4.2262], [2.9248, 9.0407, -4.2262]], "species": ["As", "As", "As", "As", "Co", "Co", "Co", "Co", "Co", "Co", "Co", "Co", "Co", "Co", "Co", "Co", "Co", "Co", "O", "O", "O", "O", "O", "O", "O", "O", "O", "O", "O", "O", "O", "O", "O", "O", "O", "O", "O", "O", "O", "O", "O", "O"], "fractional_positions": [[0.0000, 0.0000, 0.0000], [0.6285, 0.3785, 0.2500], [0.5000, 0.0000, 0.5000], [0.3715, 0.6215, 0.7500], [0.0000, 0.5000, 0.0000], [0.4450, 0.3727, 0.0723], [0.1608, 0.5000, 0.1608], [0.1848, 0.0199, 0.1648], [0.3551, 0.0199, 0.3352], [0.8392, 0.0000, 0.3392], [0.8003, 0.3727, 0.4277], [0.0000, 0.0000, 0.5000], [0.1997, 0.6273, 0.5723], [0.1608, 0.0000, 0.6608], [0.6449, 0.9801, 0.6648], [0.8152, 0.9801, 0.8352], [0.8392, 0.5000, 0.8392], [0.5550, 0.6273, 0.9277], [0.7435, 0.2492, 0.0058], [0.7886, 0.7800, 0.0086], [0.9214, 0.2163, 0.1446], [0.9474, 0.7781, 0.1693], [0.4352, 0.2638, 0.1714], [0.4283, 0.7837, 0.2051], [0.0786, 0.2232, 0.2949], [0.5924, 0.2638, 0.3286], [0.1087, 0.7781, 0.3307], [0.5717, 0.7768, 0.3554], [0.2714, 0.7800, 0.4914], [0.7435, 0.7377, 0.4942], [0.2565, 0.2623, 0.5058], [0.7286, 0.2200, 0.5086], [0.4283, 0.2232, 0.6446], [0.8913, 0.2219, 0.6693], [0.4076, 0.7362, 0.6714], [0.9214, 0.7768, 0.7051], [0.5717, 0.2163, 0.7949], [0.5648, 0.7362, 0.8286], [0.0526, 0.2219, 0.8307], [0.0786, 0.7837, 0.8554], [0.2114, 0.2200, 0.9914], [0.2565, 0.7508, 0.9942]], "crystal_system": "orthorhombic", "final_energy_ev_per_cell": -257.0, "space_group": "Imma", "volume_a3_per_atom": 10.6}

***

{"formula": "Co3As2O8", "functional": "PBE+U", "state": "optimized geometry", "lattice": [[6.4633, 0.0000, 0.0000], [0.0000, 8.4932, 0.0000], [-0.1539, 0.0000, 11.1579]], "species": ["As", "As", "As", "As", "As", "As", "As", "As", "Co", "Co", "Co", "Co", "Co", "Co", "Co", "Co", "Co", "Co", "Co", "Co", "O", "O", "O", "O", "O", "O", "O", "O", "O", "O", "O", "O", "O", "O", "O", "O", "O", "O", "O", "O", "O", "O", "O", "O", "O", "O", "O", "O", "O", "O", "O", "O"], "fractional_positions": [[0.1084, 0.5832, 0.1339], [0.3971, 0.0448, 0.1442], [0.6029, 0.5448, 0.3558], [0.8916, 0.0832, 0.3661], [0.1084, 0.9168, 0.6339], [0.3971, 0.4552, 0.6442], [0.6029, 0.9552, 0.8558], [0.8916, 0.4168, 0.8661], [0.6108, 0.6671, 0.0534], [0.8894, 0.9431, 0.1245], [0.7424, 0.3309, 0.1392], [0.2576, 0.8309, 0.3608], [0.1106, 0.4431, 0.3755], [0.3892, 0.1671, 0.4466], [0.6108, 0.8329, 0.5534], [0.8894, 0.5569, 0.6245], [0.7424, 0.1691, 0.6392], [0.2576, 0.6691, 0.8608], [0.1106, 0.0569, 0.8755], [0.3892, 0.3329, 0.9466], [0.3046, 0.5670, 0.0288], [0.1724, 0.9948, 0.0684], [0.9285, 0.7114, 0.0740], [0.4608, 0.2361, 0.1058], [0.5775, 0.8995, 0.1175], [0.0292, 0.3989, 0.1764], [0.6412, 0.5398, 0.2042], [0.7921, 0.1402, 0.2299], [0.2079, 0.6402, 0.2701], [0.3588, 0.0398, 0.2958], [0.9708, 0.8989, 0.3236], [0.4225, 0.3995, 0.3825], [0.5392, 0.7361, 0.3942], [0.0715, 0.2114, 0.4260], [0.8276, 0.4948, 0.4316], [0.6954, 0.0670, 0.4712], [0.3046, 0.9330, 0.5288], [0.1724, 0.5052, 0.5684], [0.9285, 0.7886, 0.5740], [0.4608, 0.2639, 0.6058], [0.5775, 0.6005, 0.6175], [0.0292, 0.1011, 0.6764], [0.6412, 0.9602, 0.7042], [0.7921, 0.3598, 0.7299], [0.2079, 0.8598, 0.7701], [0.3588, 0.4602, 0.7958], [0.9708, 0.6011, 0.8236], [0.4225, 0.1005, 0.8825], [0.5392, 0.7639, 0.8942], [0.0715, 0.2886, 0.9260], [0.8276, 0.0052, 0.9316], [0.6954, 0.4330, 0.9712]], "crystal_system": "monoclinic", "final_energy_ev_per_cell": -317.7, "space_group": "P2_1/c", "volume_a3_per_atom": 11.8}

***

{"formula": "CoAs2O", "functional": "PBE+U", "state": "optimized geometry", "lattice": [[-3.2102, 0.8627, 1.0835], [0.9391, -2.7887, 5.0029], [2.7176, 6.3251, 3.0155]], "species": ["As", "As", "As", "As", "Co", "Co", "O", "O"], "fractional_positions": [[0.5000, 0.3224, 0.0075], [0.0000, 0.8477, 0.3189], [0.5000, 0.6776, 0.5075], [0.0000, 0.1523, 0.8189], [0.0000, 0.2184, 0.4896], [0.0000, 0.7816, 0.9896], [0.5000, 0.3688, 0.4380], [0.5000, 0.6312, 0.9380]], "crystal_system": "orthorhombic", "final_energy_ev_per_cell": -39.4, "space_group": "Pmc2_1", "volume_a3_per_atom": 19.1}

***

{"formula": "CoAsO3", "functional": "PBE+U", "state": "optimized geometry", "lattice": [[3.7688, 0.0000, 0.0000], [0.0000, 3.7688, 0.0000], [0.0000, 0.0000, 3.7688]], "species": ["As", "Co", "O", "O", "O"], "fractional_positions": [[0.5000, 0.5000, 0.5000], [0.0000, 0.0000, 0.0000], [0.5000, 0.5000, 0.0000], [0.5000, 0.0000, 0.5000], [0.0000, 0.5000, 0.5000]], "crystal_system": "cubic", "final_energy_ev_per_cell": -27.0, "space_group": "Pm-3m", "volume_a3_per_atom": 10.7}

***

{"formula": "CoAsO3", "functional": "PBE+U", "state": "optimized geometry", "lattice": [[-1.2497, -1.8861, 4.1339], [0.0027, -4.1318, -3.1904], [5.1041, 0.7079, 1.2785]], "species": ["As", "As", "Co", "Co", "O", "O", "O", "O", "O", "O"], "fractional_positions": [[0.3889, 0.2468, 0.2701], [0.6236, 0.8438, 0.7897], [0.0589, 0.6778, 0.2449], [0.9900, 0.3464, 0.6880], [0.1975, 0.3545, 0.0447], [0.4162, 0.9166, 0.0687], [0.7580, 0.4022, 0.3710], [0.1761, 0.0750, 0.4601], [0.3159, 0.5972, 0.5573], [0.7884, 0.6143, 0.9052]], "crystal_system": "triclinic", "final_energy_ev_per_cell": -60.6, "space_group": "P1", "volume_a3_per_atom": 12.2}

***

{"formula": "CoAs2O", "functional": "PBE+U", "state": "optimized geometry", "lattice": [[-4.1236, -0.9350, 0.4756], [-0.1018, -1.5633, -3.9561], [2.1041, -7.7494, 3.0082]], "species": ["As", "As", "As", "As", "Co", "Co", "O", "O"], "fractional_positions": [[0.0000, 0.5000, 0.3394], [0.0000, 0.0000, 0.5000], [0.5000, 0.5000, 0.5000], [0.5000, 0.0000, 0.6606], [0.5000, 0.0000, 0.0005], [0.0000, 0.5000, 0.9995], [0.0000, 0.0000, 0.0000], [0.5000, 0.5000, 0.0000]], "crystal_system": "tetragonal", "final_energy_ev_per_cell": -39.3, "space_group": "P4/nmm", "volume_a3_per_atom": 19.4}

***

{"formula": "CoAs2O", "functional": "PBE+U", "state": "optimized geometry", "lattice": [[-0.0352, 2.3959, 3.5370], [2.9682, -3.9703, 2.7189], [4.7709, 2.4587, -1.6180]], "species": ["As", "As", "As", "As", "Co", "Co", "O", "O"], "fractional_positions": [[0.5000, 0.3082, 0.3831], [0.5000, 0.7493, 0.4404], [0.5000, 0.6918, 0.8831], [0.5000, 0.2507, 0.9404], [0.0000, 0.8601, 0.0367], [0.0000, 0.1399, 0.5367], [0.0000, 0.8169, 0.3938], [0.0000, 0.1831, 0.8938]], "crystal_system": "orthorhombic", "final_energy_ev_per_cell": -40.6, "space_group": "Pmc2_1", "volume_a3_per_atom": 16.9}

***

{"formula": "CoAsO3", "functional": "PBE+U", "state": "optimized geometry", "lattice": [[1.6208, 4.6529, 1.3609], [2.2524, 0.5778, 4.5521], [5.0300, 0.8976, 0.1507]], "species": ["As", "As", "Co", "Co", "O", "O", "O", "O", "O", "O"], "fractional_positions": [[0.2500, 0.2500, 0.2500], [0.7500, 0.7500, 0.7500], [0.0000, 0.0000, 0.0000], [0.5000, 0.5000, 0.5000], [0.7500, 0.3607, 0.1393], [0.6393, 0.8607, 0.2500], [0.1393, 0.7500, 0.3607], [0.8607, 0.2500, 0.6393], [0.3607, 0.1393, 0.7500], [0.2500, 0.6393, 0.8607]], "crystal_system": "trigonal", "final_energy_ev_per_cell": -55.6, "space_group": "R-3c", "volume_a3_per_atom": 9.7}

***

{"formula": "Co2AsO4", "functional": "PBE+U", "state": "optimized geometry", "lattice": [[-5.2847, 2.5945, -1.0252], [0.9828, -5.5587, -1.9609], [-0.5522, 1.0004, 5.8655]], "species": ["As", "As", "Co", "Co", "Co", "Co", "O", "O", "O", "O", "O", "O", "O", "O"], "fractional_positions": [[0.0000, 0.0000, 0.0000], [0.7500, 0.5000, 0.2500], [0.3750, 0.7500, 0.1250], [0.8750, 0.2500, 0.6250], [0.3750, 0.2500, 0.6250], [0.3750, 0.7500, 0.6250], [0.6215, 0.7555, 0.3771], [0.1340, 0.7555, 0.3785], [0.6229, 0.2445, 0.3785], [0.1285, 0.2555, 0.3840], [0.6215, 0.2445, 0.8660], [0.6160, 0.7445, 0.8715], [0.1271, 0.2555, 0.8715], [0.1285, 0.7445, 0.8729]], "crystal_system": "tetragonal", "final_energy_ev_per_cell": -83.4, "space_group": "I4_1/amd", "volume_a3_per_atom": 10.9}

***

{"formula": "Co2As2O5", "functional": "PBE+U", "state": "optimized geometry", "lattice": [[7.8617, 0.0000, 0.0000], [0.0000, 3.5556, 0.0000], [0.0000, 0.0000, 3.5556]], "species": ["As", "As", "Co", "Co", "O", "O", "O", "O", "O"], "fractional_positions": [[0.0000, 0.0000, 0.0000], [0.5000, 0.0000, 0.0000], [0.2587, 0.5000, 0.5000], [0.7413, 0.5000, 0.5000], [0.1512, 0.5000, 0.0000], [0.8488, 0.5000, 0.0000], [0.1512, 0.0000, 0.5000], [0.8488, 0.0000, 0.5000], [0.5000, 0.5000, 0.5000]], "crystal_system": "tetragonal", "final_energy_ev_per_cell": -47.7, "space_group": "P4/mmm", "volume_a3_per_atom": 11.0}

***

{"formula": "CoAsO3", "functional": "PBE+U", "state": "optimized geometry", "lattice": [[3.6592, 0.0000, 0.0000], [0.0000, 3.6592, 0.0000], [0.0000, 0.0000, 3.6592]], "species": ["As", "Co", "O", "O", "O"], "fractional_positions": [[0.0000, 0.0000, 0.0000], [0.5000, 0.5000, 0.5000], [0.5000, 0.5000, 0.0000], [0.5000, 0.0000, 0.5000], [0.0000, 0.5000, 0.5000]], "crystal_system": "cubic", "final_energy_ev_per_cell": -26.2, "space_group": "Pm-3m", "volume_a3_per_atom": 9.8}

***

{"formula": "Co3As2O8", "functional": "PBE+U", "state": "optimized geometry", "lattice": [[5.8125, 0.0000, 0.0000], [0.0000, 9.6813, 0.0000], [-0.6386, 0.0000, 10.2782]], "species": ["As", "As", "As", "As", "As", "As", "As", "As", "Co", "Co", "Co", "Co", "Co", "Co", "Co", "Co", "Co", "Co", "Co", "Co", "O", "O", "O", "O", "O", "O", "O", "O", "O", "O", "O", "O", "O", "O", "O", "O", "O", "O", "O", "O", "O", "O", "O", "O", "O", "O", "O", "O", "O", "O", "O", "O"], "fractional_positions": [[0.1347, 0.8446, 0.1195], [0.3727, 0.4462, 0.2049], [0.6273, 0.9462, 0.2951], [0.8653, 0.3446, 0.3805], [0.1347, 0.6554, 0.6195], [0.3727, 0.0538, 0.7049], [0.6273, 0.5538, 0.7951], [0.8653, 0.1554, 0.8805], [0.3878, 0.1341, 0.0358], [0.8551, 0.3775, 0.0569], [0.8521, 0.6394, 0.2156], [0.1479, 0.1394, 0.2844], [0.1449, 0.8775, 0.4431], [0.6122, 0.6341, 0.4642], [0.3878, 0.3659, 0.5358], [0.8551, 0.1225, 0.5569], [0.8521, 0.8606, 0.7156], [0.1479, 0.3606, 0.7844], [0.1449, 0.6225, 0.9431], [0.6122, 0.8659, 0.9642], [0.3490, 0.7673, 0.0369], [0.8970, 0.7563, 0.0458], [0.1312, 0.0213, 0.1183], [0.1225, 0.5138, 0.1237], [0.6097, 0.5092, 0.1309], [0.6203, 0.9949, 0.1340], [0.3703, 0.2686, 0.1946], [0.8833, 0.2764, 0.2269], [0.1167, 0.7764, 0.2731], [0.6297, 0.7686, 0.3054], [0.3797, 0.4949, 0.3660], [0.3903, 0.0092, 0.3691], [0.8775, 0.0138, 0.3763], [0.8688, 0.5213, 0.3817], [0.1030, 0.2563, 0.4542], [0.6510, 0.2673, 0.4631], [0.3490, 0.7327, 0.5369], [0.8970, 0.7437, 0.5458], [0.1312, 0.4787, 0.6183], [0.1225, 0.9862, 0.6237], [0.6097, 0.9908, 0.6309], [0.6203, 0.5051, 0.6340], [0.3703, 0.2314, 0.6946], [0.8833, 0.2236, 0.7269], [0.1167, 0.7236, 0.7731], [0.6297, 0.7314, 0.8054], [0.3797, 0.0051, 0.8660], [0.3903, 0.4908, 0.8691], [0.8775, 0.4862, 0.8763], [0.8688, 0.9787, 0.8817], [0.1030, 0.2437, 0.9542], [0.6510, 0.2327, 0.9631]], "crystal_system": "monoclinic", "final_energy_ev_per_cell": -318.0, "space_group": "P2_1/c", "volume_a3_per_atom": 11.1}

***

Copy entry 10 word for word.
{"formula": "Co2As2O5", "functional": "PBE+U", "state": "optimized geometry", "lattice": [[7.8617, 0.0000, 0.0000], [0.0000, 3.5556, 0.0000], [0.0000, 0.0000, 3.5556]], "species": ["As", "As", "Co", "Co", "O", "O", "O", "O", "O"], "fractional_positions": [[0.0000, 0.0000, 0.0000], [0.5000, 0.0000, 0.0000], [0.2587, 0.5000, 0.5000], [0.7413, 0.5000, 0.5000], [0.1512, 0.5000, 0.0000], [0.8488, 0.5000, 0.0000], [0.1512, 0.0000, 0.5000], [0.8488, 0.0000, 0.5000], [0.5000, 0.5000, 0.5000]], "crystal_system": "tetragonal", "final_energy_ev_per_cell": -47.7, "space_group": "P4/mmm", "volume_a3_per_atom": 11.0}

***

Copy entry 5 word for word.
{"formula": "CoAsO3", "functional": "PBE+U", "state": "optimized geometry", "lattice": [[-1.2497, -1.8861, 4.1339], [0.0027, -4.1318, -3.1904], [5.1041, 0.7079, 1.2785]], "species": ["As", "As", "Co", "Co", "O", "O", "O", "O", "O", "O"], "fractional_positions": [[0.3889, 0.2468, 0.2701], [0.6236, 0.8438, 0.7897], [0.0589, 0.6778, 0.2449], [0.9900, 0.3464, 0.6880], [0.1975, 0.3545, 0.0447], [0.4162, 0.9166, 0.0687], [0.7580, 0.4022, 0.3710], [0.1761, 0.0750, 0.4601], [0.3159, 0.5972, 0.5573], [0.7884, 0.6143, 0.9052]], "crystal_system": "triclinic", "final_energy_ev_per_cell": -60.6, "space_group": "P1", "volume_a3_per_atom": 12.2}